# LaTc2Br

A relaxed LaTc2Br crystal (PBE, Alexandria).

Cell and atoms, written as CIF:
```
data_LaTc2Br
_chemical_formula_sum 'La1 Tc2 Br1'
_cell_length_a 3.2401
_cell_length_b 3.2327
_cell_length_c 8.2552
_cell_angle_alpha 90.00
_cell_angle_beta 101.27
_cell_angle_gamma 90.00
_symmetry_space_group_name_H-M 'P 1 m 1'
_symmetry_Int_Tables_number 6
loop_
_symmetry_equiv_pos_as_xyz
'x,y,z'
'x,-y,z'
loop_
_atom_site_label
_atom_site_type_symbol
_atom_site_fract_x
_atom_site_fract_y
_atom_site_fract_z
_atom_site_occupancy
La1 La 0.0000 0.0000 0.0000 1
Tc1 Tc 0.3636 0.5000 0.7243 1
Tc2 Tc 0.7884 0.0000 0.5734 1
Br1 Br 0.6360 0.5000 0.2731 1
```

E_tot	-6.904	eV per atom